Below is a relaxed structure of AlCr2Co, with properties calculated at the PBE level.

Computed properties:
Formation enthalpy at 0 K (eV per atom): 0.11
Symmetry: R3m (160)
E (eV per atom): -7.409

Cell lengths 8.4379, 8.4379, 8.4379 Å; angles 17.65, 17.65, 17.65 degrees
Last column: nearest neighbours and their distance in Å.
Positions (direct):
Al 0.0000 0.0000 0.0000  3 Co 2.54, 6 Al 2.59, 3 Cr 2.65
Cr 0.2455 0.2455 0.2455  9 Cr 2.59-2.62, 3 Al 2.65
Cr 0.4923 0.4923 0.4923  3 Co 2.43, 9 Cr 2.59-2.62
Co 0.7489 0.7489 0.7489  3 Cr 2.43, 3 Al 2.54, 6 Co 2.59